# LuThCoCu PBE relaxed
data_LuThCoCu
_chemical_formula_sum 'Lu4 Th4 Co4 Cu4'
_cell_length_a 6.8719
_cell_length_b 6.8719
_cell_length_c 6.8719
_cell_angle_alpha 90.00
_cell_angle_beta 90.00
_cell_angle_gamma 90.00
_symmetry_space_group_name_H-M 'F -4 3 m'
_symmetry_Int_Tables_number 216
_symmetry_space_group_name_Hall 'F -4 2 3'
loop_
_atom_site_label
_atom_site_type_symbol
_atom_site_fract_x
_atom_site_fract_y
_atom_site_fract_z
Lu1 Lu 0.0000 0.0000 0.0000
Th1 Th 0.0000 0.0000 0.5000
Co1 Co 0.2500 0.2500 0.7500
Cu1 Cu 0.2500 0.2500 0.2500
# - Total magnetic moment: 0.0 μB per formula unit
# - ΔE_f: -193 meV/atom